# 1
Material: Ba2LaSi
Method: DFT, GGA-PBEsol
State: relaxed

Properties
For the uncorrected formation energy, the calculation gives 194 meV per atom. As for the density of states at the Fermi level: 1.35 states/eV/atom.

Unit cell a=3.9066 b=3.9066 c=35.1694 alpha=90.00 beta=90.00 gamma=120.00
Sites, in units of the cell vectors:
Ba 0.0000 0.0000 0.2323
Ba 0.0000 0.0000 0.7677
Ba 0.3333 0.6667 0.4344
Ba 0.3333 0.6667 0.8990
Ba 0.6667 0.3333 0.1010
Ba 0.6667 0.3333 0.5656
La 0.0000 0.0000 0.0000
La 0.3333 0.6667 0.6667
La 0.6667 0.3333 0.3333
Si 0.0000 0.0000 0.5000
Si 0.3333 0.6667 0.1667
Si 0.6667 0.3333 0.8333



# 2
Material: BaLa2Ag
Method: DFT, GGA-PBEsol
State: relaxed

Properties
As for the offset from the most stable computed form: 222.7 meV per atom. The calculation puts the formation energy at 0.174 eV per atom. As for the density of states at the Fermi level: 1.53 states/eV/atom.

Unit cell a=7.9292 b=8.1252 c=3.8864 alpha=90.00 beta=90.00 gamma=90.00
Sites, in units of the cell vectors:
Ba 0.0000 0.0000 0.0000
Ba 0.5000 0.5000 0.0000
La 0.2500 0.2500 0.5000
La 0.2500 0.7500 0.5000
La 0.7500 0.2500 0.5000
La 0.7500 0.7500 0.5000
Ag 0.0000 0.5000 0.0000
Ag 0.5000 0.0000 0.0000



# 3
Material: Na7Cu3O8
Method: DFT, GGA-PBEsol
State: relaxed

Properties
For the uncorrected formation energy, the calculation gives -1113 meV per atom.

Unit cell a=5.5396 b=6.0764 c=7.8669 alpha=70.06 beta=71.65 gamma=89.93
Sites, in units of the cell vectors:
Na 0.0000 0.0000 0.0000
Na 0.2539 0.3670 0.5564
Na 0.2801 0.3916 0.1157
Na 0.3781 0.8393 0.2105
Na 0.6219 0.1607 0.7895
Na 0.7199 0.6084 0.8843
Na 0.7461 0.6330 0.4436
Cu 0.0000 0.0000 0.5000
Cu 0.2564 0.7505 0.7387
Cu 0.7436 0.2495 0.2613
O 0.0394 0.9897 0.7223
O 0.1303 0.7183 0.5513
O 0.3509 0.8070 0.9223
O 0.4305 0.4989 0.7482
O 0.5695 0.5011 0.2518
O 0.6491 0.1930 0.0777
O 0.8697 0.2817 0.4487
O 0.9606 0.0103 0.2777



For each record above, in turn, the calculated DFT total energy values are -3.653, -3.864, -4.713 eV/atom.